{
  "formula": "Rb5NbBr2O4",
  "functional": "PBE",
  "state": "relaxed",
  "lattice_angstrom": [[-0.8482, 1.2778, -6.7821], [5.4655, -2.5299, 2.4043], [-3.3686, -8.3772, -1.1571]],
  "species": ["O", "O", "O", "O", "Rb", "Rb", "Rb", "Rb", "Rb", "Br", "Br", "Nb"],
  "fractional_positions": [[0.5705, 0.0000, 0.1660], [0.1064, 0.7181, 0.0000], [0.5705, 0.0000, 0.8340], [0.3883, 0.2819, 0.0000], [0.7060, 0.6400, 0.8026], [0.0660, 0.3600, 0.8026], [0.0660, 0.3600, 0.1974], [0.5191, 0.0000, 0.5000], [0.7060, 0.6400, 0.1974], [0.9586, 0.6169, 0.5000], [0.3418, 0.3831, 0.5000], [0.4063, 0.0000, 0.0000]],
  "dft_energy_ev_per_fu": -61.37,
  "crystal_system": "orthorhombic",
  "dos_at_fermi_per_ev_atom": 0.00,
  "spacegroup": "No. 38",
  "volume_a3_per_cell": 346,
  "magmom_total_mub_per_cell": 0.14
}

{
  "formula": "Sc2NbBrO",
  "functional": "PBE",
  "state": "relaxed",
  "lattice_angstrom": [[-1.7051, 4.6394, 1.4579], [-2.7481, 0.2212, -3.9180], [-3.8615, -2.2307, 2.5826]],
  "species": ["O", "Br", "Sc", "Sc", "Nb"],
  "fractional_positions": [[0.5000, 0.5000, 0.5000], [0.0000, 0.5000, 0.0000], [0.5000, 0.0000, 0.0000], [0.0000, 0.0000, 0.5000], [0.0000, 0.0000, 0.0000]],
  "dft_energy_ev_per_fu": -26.42,
  "crystal_system": "tetragonal",
  "dos_at_fermi_per_ev_atom": 0.65,
  "spacegroup": "No. 123",
  "volume_a3_per_cell": 127,
  "magmom_total_mub_per_cell": 0.00
}

{
  "formula": "NbSe2BrO",
  "functional": "PBE",
  "state": "relaxed",
  "lattice_angstrom": [[4.9991, 0.0000, 0.0000], [0.0000, 4.9991, 0.0000], [0.0000, 0.0000, 5.2486]],
  "species": ["O", "Se", "Se", "Br", "Nb"],
  "fractional_positions": [[0.5000, 0.5000, 0.5000], [0.0000, 0.5000, 0.0000], [0.5000, 0.0000, 0.0000], [0.0000, 0.0000, 0.5000], [0.0000, 0.0000, 0.0000]],
  "dft_energy_ev_per_fu": -22.46,
  "crystal_system": "tetragonal",
  "dos_at_fermi_per_ev_atom": 1.36,
  "spacegroup": "No. 123",
  "volume_a3_per_cell": 131,
  "magmom_total_mub_per_cell": 1.76,
  "e_above_lowest_polymorph_ev_per_atom": 0.000
}

{
  "formula": "NbSe2BrO",
  "functional": "PBE",
  "state": "relaxed",
  "lattice_angstrom": [[-0.3030, -1.8125, 3.7489], [-3.1141, -2.3968, -1.4105], [3.6467, -3.8236, -1.5539]],
  "species": ["Br", "Se", "Se", "O", "Nb"],
  "fractional_positions": [[0.0000, 0.0000, 0.5000], [0.5000, 0.0000, 0.0000], [0.0000, 0.5000, 0.0000], [0.0000, 0.0000, 0.0000], [0.5000, 0.5000, 0.5000]],
  "dft_energy_ev_per_fu": -21.36,
  "crystal_system": "tetragonal",
  "dos_at_fermi_per_ev_atom": 0.66,
  "spacegroup": "No. 123",
  "volume_a3_per_cell": 96,
  "magmom_total_mub_per_cell": 2.24,
  "e_above_lowest_polymorph_ev_per_atom": 0.218
}

{
  "formula": "SrNbBr2O",
  "functional": "PBE",
  "state": "relaxed",
  "lattice_angstrom": [[5.8868, 0.0000, 0.0000], [0.0000, 4.2779, 0.0000], [0.0000, 0.0000, 5.8868]],
  "species": ["Sr", "Br", "Br", "Nb", "O"],
  "fractional_positions": [[0.0000, 0.0000, 0.0000], [0.0000, 0.0000, 0.5000], [0.5000, 0.0000, 0.0000], [0.5000, 0.5000, 0.5000], [0.0000, 0.5000, 0.0000]],
  "dft_energy_ev_per_fu": -21.03,
  "crystal_system": "tetragonal",
  "dos_at_fermi_per_ev_atom": 1.04,
  "spacegroup": "No. 123",
  "volume_a3_per_cell": 148,
  "magmom_total_mub_per_cell": 3.04
}

{
  "formula": "TbNbBrO4",
  "functional": "PBE",
  "state": "relaxed",
  "lattice_angstrom": [[6.9617, 0.9670, -0.3319], [3.2184, 6.2484, -0.3319], [1.7380, 1.2319, 6.6786]],
  "species": ["O", "O", "O", "O", "O", "O", "O", "O", "Tb", "Tb", "Nb", "Nb", "Br", "Br"],
  "fractional_positions": [[0.6904, 0.6904, 0.4773], [0.4736, 0.4736, 0.7914], [0.5376, 0.1001, 0.1227], [0.5264, 0.5264, 0.2086], [0.8999, 0.4624, 0.8773], [0.1001, 0.5376, 0.1227], [0.4624, 0.8999, 0.8773], [0.3096, 0.3096, 0.5227], [0.2913, 0.2913, 0.8449], [0.7087, 0.7087, 0.1551], [0.3738, 0.3738, 0.2548], [0.6262, 0.6262, 0.7452], [0.9855, 0.9855, 0.6688], [0.0145, 0.0145, 0.3312]],
  "dft_energy_ev_per_fu": -53.82,
  "crystal_system": "monoclinic",
  "spacegroup": "No. 12",
  "volume_a3_per_cell": 274,
  "magmom_total_mub_per_cell": 0.00
}

What did the first record say?
{
  "formula": "Rb5NbBr2O4",
  "functional": "PBE",
  "state": "relaxed",
  "lattice_angstrom": [[-0.8482, 1.2778, -6.7821], [5.4655, -2.5299, 2.4043], [-3.3686, -8.3772, -1.1571]],
  "species": ["O", "O", "O", "O", "Rb", "Rb", "Rb", "Rb", "Rb", "Br", "Br", "Nb"],
  "fractional_positions": [[0.5705, 0.0000, 0.1660], [0.1064, 0.7181, 0.0000], [0.5705, 0.0000, 0.8340], [0.3883, 0.2819, 0.0000], [0.7060, 0.6400, 0.8026], [0.0660, 0.3600, 0.8026], [0.0660, 0.3600, 0.1974], [0.5191, 0.0000, 0.5000], [0.7060, 0.6400, 0.1974], [0.9586, 0.6169, 0.5000], [0.3418, 0.3831, 0.5000], [0.4063, 0.0000, 0.0000]],
  "dft_energy_ev_per_fu": -61.37,
  "crystal_system": "orthorhombic",
  "dos_at_fermi_per_ev_atom": 0.00,
  "spacegroup": "No. 38",
  "volume_a3_per_cell": 346,
  "magmom_total_mub_per_cell": 0.14
}